Density functional theory data (GGA-PBE) for an optimized crystal structure of AgSbSeI2.

The structure in POSCAR format:
```
AgSbSeI2
1.0
5.477 0.000 0.000
0.000 5.477 0.000
0.000 0.000 5.707
Ag Sb Se I
1 1 1 2
Cartesian
0.000 0.000 0.000
0.000 0.000 2.853
2.739 2.739 2.853
0.000 2.739 0.000
2.739 0.000 0.000
```

## Properties
* raw total energy: -2.106 eV/atom
* formation energy without anion corrections: 3.03 eV/f.u.
* magnetic moment: 0.785 μB/f.u.
* V: 34.24 Å³ per atom